(1)
! BaOsCl2 PBEsol relaxed; values from VASP
! calculated density = 7.31 g/cm³
! raw total energy = -18.01 eV per cell
! M_tot = 2.8 μB per cell
! uncorrected formation energy = 93 meV per atom
! crystal system = orthorhombic
&SYSTEM
  ibrav = 0, nat = 4, ntyp = 3
/
ATOMIC_SPECIES
Ba 137.33 Ba.upf
Os 190.23 Os.upf
Cl 35.45 Cl.upf
CELL_PARAMETERS angstrom
3.840 0.000 0.000
0.000 4.844 0.000
0.000 0.000 4.865
ATOMIC_POSITIONS crystal
Ba 0.000 0.000 0.000
Os 0.000 0.500 0.500
Cl 0.500 0.000 0.500
Cl 0.500 0.500 0.000

=====

(2)
! BaOsCl2 PBEsol relaxed; values from VASP
! calculated density = 7.20 g/cm³
! raw total energy = -39.58 eV per cell
! M_tot = 0.0 μB per cell
! uncorrected formation energy = -353 meV per atom
! crystal system = orthorhombic
&SYSTEM
  ibrav = 0, nat = 8, ntyp = 3
/
ATOMIC_SPECIES
Ba 137.33 Ba.upf
Os 190.23 Os.upf
Cl 35.45 Cl.upf
CELL_PARAMETERS angstrom
6.324 0.000 0.000
0.000 7.549 0.000
0.000 0.000 3.851
ATOMIC_POSITIONS crystal
Ba 0.000 0.000 0.000
Ba 0.500 0.500 0.000
Os 0.000 0.500 0.000
Os 0.500 0.000 0.000
Cl 0.000 0.313 0.500
Cl 0.000 0.687 0.500
Cl 0.500 0.187 0.500
Cl 0.500 0.813 0.500

=====

(3)
! BaOsCl2 PBEsol relaxed; values from VASP
! calculated density = 7.54 g/cm³
! raw total energy = -54.44 eV per cell
! M_tot = 3.5 μB per cell
! uncorrected formation energy = 59 meV per atom
! crystal system = trigonal
&SYSTEM
  ibrav = 0, nat = 12, ntyp = 3
/
ATOMIC_SPECIES
Ba 137.33 Ba.upf
Os 190.23 Os.upf
Cl 35.45 Cl.upf
CELL_PARAMETERS angstrom
3.317 0.000 0.000
-1.659 2.873 0.000
0.000 0.000 27.614
ATOMIC_POSITIONS crystal
Ba 0.000 0.000 0.000
Ba 0.333 0.667 0.667
Ba 0.667 0.333 0.333
Os 0.000 0.000 0.500
Os 0.333 0.667 0.167
Os 0.667 0.333 0.833
Cl 0.000 0.000 0.417
Cl 0.000 0.000 0.583
Cl 0.333 0.667 0.084
Cl 0.333 0.667 0.249
Cl 0.667 0.333 0.751
Cl 0.667 0.333 0.916